Entry 1:
# Nd2HoSc (PBE, optimized geometry)
data_Nd2HoSc
_chemical_formula_sum 'Nd2 Ho1 Sc1'
_cell_length_a 5.0457
_cell_length_b 5.0457
_cell_length_c 4.9006
_cell_angle_alpha 90.00
_cell_angle_beta 90.00
_cell_angle_gamma 90.00
_space_group_name_H-M_alt 'P 4/m m m'
_space_group_IT_number 123
_space_group_name_Hall '-P 4 2'
loop_
_atom_site_label
_atom_site_fract_x
_atom_site_fract_y
_atom_site_fract_z
Nd1 0.0000 0.5000 0.0000
Ho1 0.0000 0.0000 0.5000
Sc1 0.5000 0.5000 0.5000
# E_form: 40 meV per atom
# crystal system: tetragonal
# volume: 31.2 Å³/atom
# DOS at the Fermi energy: 1.4421 states/eV per atom
# excess energy over the best structure of this formula in the dataset: 0.00 eV/f.u.
# total moment: 0.000 μB/atom



Entry 2:
# SbRh2Pb (PBE, optimized geometry)
data_SbRh2Pb
_chemical_formula_sum 'Sb1 Rh2 Pb1'
_cell_length_a 4.7134
_cell_length_b 4.7134
_cell_length_c 3.3538
_cell_angle_alpha 90.00
_cell_angle_beta 90.00
_cell_angle_gamma 90.00
_space_group_name_H-M_alt 'P 4/m m m'
_space_group_IT_number 123
_space_group_name_Hall '-P 4 2'
loop_
_atom_site_label
_atom_site_fract_x
_atom_site_fract_y
_atom_site_fract_z
Sb1 0.0000 0.0000 0.0000
Rh1 0.0000 0.5000 0.5000
Pb1 0.5000 0.5000 0.0000
# crystal system: tetragonal
# volume: 18.6 Å³/atom
# DOS at the Fermi energy: 1.0643 states/eV per atom
# excess energy over the best structure of this formula in the dataset: 1.21 eV/f.u.
# ΔE_f (raw): -0.023 eV per atom
# total moment: 0.000 μB/atom



Entry 3:
# Dy3CoC3 (PBE, optimized geometry)
data_Dy3CoC3
_chemical_formula_sum 'Dy12 Co4 C12'
_cell_length_a 8.4619
_cell_length_b 10.2387
_cell_length_c 5.0650
_cell_angle_alpha 90.00
_cell_angle_beta 90.00
_cell_angle_gamma 90.00
_space_group_name_H-M_alt 'C m c m'
_space_group_IT_number 63
_space_group_name_Hall '-C 2c 2'
loop_
_atom_site_label
_atom_site_fract_x
_atom_site_fract_y
_atom_site_fract_z
Dy1 0.0000 0.1076 0.2500
Dy2 0.2143 0.3778 0.2500
Co1 0.0000 0.3015 0.7500
C1 0.0000 0.1226 0.7500
C2 0.2011 0.3684 0.7500
# E_form: -210 meV per atom
# crystal system: orthorhombic
# volume: 15.7 Å³/atom
# DOS at the Fermi energy: 0.5045 states/eV per atom
# total moment: 0.000 μB/atom



Entry 4:
# AlPtC2Br (PBE, optimized geometry)
data_AlPtC2Br
_chemical_formula_sum 'Al1 Pt1 C2 Br1'
_cell_length_a 3.9136
_cell_length_b 3.9136
_cell_length_c 5.1698
_cell_angle_alpha 90.00
_cell_angle_beta 90.00
_cell_angle_gamma 90.00
_space_group_name_H-M_alt 'P 4/m m m'
_space_group_IT_number 123
_space_group_name_Hall '-P 4 2'
loop_
_atom_site_label
_atom_site_fract_x
_atom_site_fract_y
_atom_site_fract_z
Al1 0.0000 0.0000 0.0000
Pt1 0.5000 0.5000 0.5000
C1 0.0000 0.5000 0.0000
Br1 0.0000 0.0000 0.5000
# crystal system: tetragonal
# volume: 15.8 Å³/atom
# DOS at the Fermi energy: 0.4718 states/eV per atom
# ΔE_f (raw): 1.857 eV per atom
# total moment: 0.000 μB/atom



Entry 5:
# FeTeP2 (PBE, optimized geometry)
data_FeTeP2
_chemical_formula_sum 'Fe2 Te2 P4'
_cell_length_a 6.7037
_cell_length_b 2.9886
_cell_length_c 7.8768
_cell_angle_alpha 90.00
_cell_angle_beta 106.99
_cell_angle_gamma 90.00
_space_group_name_H-M_alt 'C 1 2/m 1'
_space_group_IT_number 12
loop_
_space_group_symop_operation_xyz
'x,y,z'
'-x,-y,-z'
'-x,y,-z'
'x,-y,z'
'x+1/2,y+1/2,z'
'-x+1/2,-y+1/2,-z'
'-x+1/2,y+1/2,-z'
'x+1/2,-y+1/2,z'
loop_
_atom_site_label
_atom_site_fract_x
_atom_site_fract_y
_atom_site_fract_z
Fe1 0.0000 0.0000 0.0000
Te1 0.0000 0.5000 0.5000
P1 0.1539 0.5000 0.8620
# crystal system: monoclinic
# volume: 18.9 Å³/atom
# DOS at the Fermi energy: 0.6669 states/eV per atom
# ΔE_f (raw): -0.016 eV per atom
# total moment: 0.101 μB/atom



Entry 6:
# MnCr2Ru (PBE, optimized geometry)
data_MnCr2Ru
_chemical_formula_sum 'Mn2 Cr4 Ru2'
_cell_length_a 2.8936
_cell_length_b 4.2244
_cell_length_c 8.0490
_cell_angle_alpha 90.00
_cell_angle_beta 90.00
_cell_angle_gamma 90.00
_space_group_name_H-M_alt 'C m m m'
_space_group_IT_number 65
_space_group_name_Hall '-C 2 2'
loop_
_atom_site_label
_atom_site_fract_x
_atom_site_fract_y
_atom_site_fract_z
Mn1 0.0000 0.0000 0.0000
Cr1 0.0000 0.5000 0.2369
Ru1 0.0000 0.0000 0.5000
# E_form: 201 meV per atom
# crystal system: orthorhombic
# volume: 12.3 Å³/atom
# DOS at the Fermi energy: 1.4761 states/eV per atom
# excess energy over the best structure of this formula in the dataset: 0.54 eV/f.u.
# total moment: 0.077 μB/atom